Entry 1:
Entry from Alexandria via LeMat-Bulk: crystalline TlCdSn2Pb4 at its relaxed geometry (GGA-PBE).

Properties
V = 256 Å³ per cell
Formation enthalpy at 0 K = 0.1469 eV per atom
Size of the total moment = 0.000 μB per formula unit
D(E_F) = 3.96 states/eV/cell

a = 4.5598 Å, b = 7.8759 Å, c = 7.6445 Å
α = 68.87°, β = 90.00°, γ = 90.00°
Atoms (fractional coordinates):
Pb  0.5000  0.2377  0.7478
Tl  0.5000  0.5000  0.0000
Cd  0.0000  0.5000  0.5000
Pb  0.0000  0.7658  0.7398
Sn  0.5000  0.0000  0.5000
Pb  0.0000  0.2342  0.2602
Pb  0.5000  0.7624  0.2522
Sn  0.0000  0.0000  0.0000

Entry 2:
Entry from Alexandria via LeMat-Bulk: crystalline TlCdSnPb at its relaxed geometry (GGA-PBE).

Properties
V = 114 Å³ per cell
Formation enthalpy at 0 K = 0.0481 eV per atom
Size of the total moment = 0.000 μB per formula unit
D(E_F) = 1.60 states/eV/cell

a = 3.4335 Å, b = 3.4335 Å, c = 9.6716 Å
α = 90.02°, β = 89.98°, γ = 90.01°
Atoms (fractional coordinates):
Pb  0.1463  0.8537  0.7128
Cd  0.1461  0.8539  0.2290
Sn  0.6469  0.3531  0.4585
Tl  0.6457  0.3543  0.9884